Density functional theory data (PBE+U) for a relaxed structure of VCu3Cl2F6.

Lattice parameters (Å, degrees): 6.980 6.980 4.807 94.71 94.71 52.06
Atoms (fractional coordinates):
V  0.000  0.000  0.000
Cu  0.000  0.500  0.000
Cu  0.500  0.000  0.000
Cu  0.500  0.500  0.500
Cl  0.321  0.321  0.300
Cl  0.679  0.679  0.700
F  0.136  0.136  0.838
F  0.170  0.723  0.759
F  0.277  0.830  0.241
F  0.723  0.170  0.759
F  0.830  0.277  0.241
F  0.864  0.864  0.162

Raw total energy ... -54.1 eV/cell